The following is a PBE+U calculation of crystalline DyCr2O2 at its relaxed geometry, from Alexandria.

Its energy above the most stable polymorph in this dataset is 0.0 meV/atom. The value obtained for the density of states at the Fermi level is 15.96 states/eV/cell. As for the calculated density: 4.28 g/cm³.

The space group is I4_1/amd (No. 141, origin choice 2) and the conventional cell measures 11.566, 11.566 and 6.924 Å, with angles of 90.00, 90.00 and 90.00 degrees. The distinct sites, in fractional coordinates, are Dy at (0.000, 0.000, 0.000), Cr at (0.000, 0.127, 0.528) and O at (0.000, 0.015, 0.305).